# 1
Density functional theory data (GGA-PBE) for a relaxed structure of LaBIO2.

a b c (Å): 4.302 4.302 4.368
angles (deg): 90.00 90.00 90.00
Space group P4/mmm (No. 123)
Asymmetric unit:
La: 0.000 0.000 0.000 [1 per cell]
B: 0.500 0.500 0.500 [1 per cell]
I: 0.500 0.500 0.000 [1 per cell]
O: 0.000 0.500 0.500 [2 per cell]

Summary:
**Size of the total moment**: 0.0 μB per formula unit
**Formation energy (no corrections)**: -40.51 kJ per mole of atoms
**Excess energy over the best structure of this formula in the dataset**: 29 meV per atom

# 2
Density functional theory data (GGA-PBE) for a relaxed structure of BaCaCr.

a b c (Å): 5.8692 5.8692 3.7303
angles (deg): 90.00 90.00 120.00
Space group P-6m2 (No. 187)
Asymmetric unit:
Ba: 0.0000 0.0000 0.0000 [1 per cell]
Ca: 0.3333 0.6667 0.5000 [1 per cell]
Cr: 0.6667 0.3333 0.0000 [1 per cell]

Summary:
**Calculated formation energy**: 718 meV per atom
**Size of the total moment**: 4.3 μB per formula unit
**Excess energy over the best structure of this formula in the dataset**: 398 meV per atom

# 3
Density functional theory data (GGA-PBE) for a relaxed structure of Sn7I12Br.

a b c (Å): 16.7788 16.7788 11.0085
angles (deg): 90.00 90.00 120.00
Space group R-3 (No. 148, hexagonal axes)
Asymmetric unit:
Sn: 0.0000 0.0000 0.0000 [3 per cell]
Sn: 0.0549 0.1837 0.3356 [18 per cell]
I: 0.0230 0.5862 0.1575 [18 per cell]
I: 0.0451 0.1716 0.8265 [18 per cell]
Br: 0.0000 0.0000 0.5000 [3 per cell]

Summary:
**Size of the total moment**: 0.0 μB per formula unit
**Formation energy (no corrections)**: -43.80 kJ per mole of atoms

# 4
Density functional theory data (GGA-PBE) for a relaxed structure of BaLiIr2.

a b c (Å): 4.704 4.704 17.901
angles (deg): 90.00 90.00 90.00
Space group I-42d (No. 122)
Asymmetric unit:
Ba: 0.000 0.000 0.000 [4 per cell]
Li: 0.000 0.000 0.500 [4 per cell]
Ir: 0.074 0.750 0.625 [8 per cell]

Summary:
**Calculated formation energy**: 138 meV per atom
**Size of the total moment**: 0.0 μB per formula unit
**Excess energy over the best structure of this formula in the dataset**: 318 meV per atom

# 5
Density functional theory data (GGA-PBE) for a relaxed structure of ZrMn4Ni15.

a b c (Å): 3.619 3.619 17.938
angles (deg): 90.00 90.00 90.00
Space group P4/mmm (No. 123)
Asymmetric unit:
Zr: 0.000 0.000 0.000 [1 per cell]
Mn: 0.000 0.000 0.207 [2 per cell]
Mn: 0.000 0.000 0.402 [2 per cell]
Ni: 0.000 0.500 0.108 [4 per cell]
Ni: 0.000 0.500 0.304 [4 per cell]
Ni: 0.000 0.500 0.500 [2 per cell]
Ni: 0.500 0.500 0.000 [1 per cell]
Ni: 0.500 0.500 0.206 [2 per cell]
Ni: 0.500 0.500 0.402 [2 per cell]

Summary:
**Calculated formation energy**: -157 meV per atom
**Size of the total moment**: 19.2 μB per formula unit

# 6
Density functional theory data (GGA-PBE) for a relaxed structure of Sr2Cr.

a b c (Å): 7.891 8.265 4.101
angles (deg): 90.00 90.00 90.00
Space group Pnnm (No. 58)
Asymmetric unit:
Sr: 0.216 0.163 0.000 [4 per cell]
Cr: 0.000 0.500 0.000 [2 per cell]

Summary:
**Calculated formation energy**: 683 meV per atom
**Size of the total moment**: 4.7 μB per formula unit

# 7
Density functional theory data (GGA-PBE) for a relaxed structure of Pm2NdAgN.

a b c (Å): 4.952 4.952 5.027
angles (deg): 90.00 90.00 90.00
Space group P4/mmm (No. 123)
Asymmetric unit:
Pm: 0.000 0.500 0.000 [2 per cell]
Nd: 0.000 0.000 0.500 [1 per cell]
Ag: 0.500 0.500 0.500 [1 per cell]
N: 0.000 0.000 0.000 [1 per cell]

Summary:
**Size of the total moment**: 0.0 μB per formula unit
**Formation energy (no corrections)**: -58.73 kJ per mole of atoms

# 8
Density functional theory data (GGA-PBE) for a relaxed structure of SmDy2PbC.

a b c (Å): 4.925 4.925 5.054
angles (deg): 90.00 90.00 90.00
Space group P4/mmm (No. 123)
Asymmetric unit:
Sm: 0.000 0.000 0.000 [1 per cell]
Dy: 0.000 0.500 0.500 [2 per cell]
Pb: 0.500 0.500 0.000 [1 per cell]
C: 0.000 0.000 0.500 [1 per cell]

Summary:
**Calculated formation energy**: -509 meV per atom
**Size of the total moment**: 0.0 μB per formula unit

# 9
Density functional theory data (GGA-PBE) for a relaxed structure of Cs2LiSeF6.

a b c (Å): 6.5990 6.5990 30.0482
angles (deg): 90.00 90.00 120.00
Space group R-3m (No. 166, hexagonal axes)
Asymmetric unit:
Cs: 0.0000 0.0000 0.1152 [6 per cell]
Cs: 0.0000 0.0000 0.2836 [6 per cell]
Li: 0.0000 0.0000 0.3875 [6 per cell]
Se: 0.0000 0.0000 0.0000 [3 per cell]
Se: 0.0000 0.0000 0.5000 [3 per cell]
F: 0.0296 0.5148 0.3020 [18 per cell]
F: 0.0535 0.5268 0.1284 [18 per cell]

Summary:
**Size of the total moment**: 0.0 μB per formula unit
**Formation energy (no corrections)**: -215.01 kJ per mole of atoms
**Excess energy over the best structure of this formula in the dataset**: 0 meV per atom

# 10
Density functional theory data (GGA-PBE) for a relaxed structure of Ac2DyIn.

a b c (Å): 3.7737 3.7737 38.6486
angles (deg): 90.00 90.00 120.00
Space group R-3m (No. 166, hexagonal axes)
Asymmetric unit:
Ac: 0.0000 0.0000 0.0893 [6 per cell]
Dy: 0.0000 0.0000 0.5000 [3 per cell]
In: 0.0000 0.0000 0.0000 [3 per cell]

Summary:
**Calculated formation energy**: 160 meV per atom
**Size of the total moment**: 0.0 μB per formula unit
**Excess energy over the best structure of this formula in the dataset**: 320 meV per atom

# 11
Density functional theory data (GGA-PBE) for a relaxed structure of GdCdCuHg.

a b c (Å): 6.970 6.970 6.970
angles (deg): 90.00 90.00 90.00
Space group F-43m (No. 216)
Asymmetric unit:
Gd: 0.000 0.000 0.000 [4 per cell]
Cd: 0.250 0.250 0.250 [4 per cell]
Cu: 0.250 0.250 0.750 [4 per cell]
Hg: 0.000 0.000 0.500 [4 per cell]

Summary:
**Calculated formation energy**: -179 meV per atom
**Size of the total moment**: 7.2 μB per formula unit

# 12
Density functional theory data (GGA-PBE) for a relaxed structure of NaAlO.

a b c (Å): 5.601 3.247 5.418
angles (deg): 90.00 90.00 90.00
Space group Pmma (No. 51)
Asymmetric unit:
Na: 0.250 0.000 0.229 [2 per cell]
Al: 0.250 0.500 0.706 [2 per cell]
O: 0.000 0.500 0.500 [2 per cell]

Summary:
**Size of the total moment**: 0.0 μB per formula unit
**Formation energy (no corrections)**: -139.15 kJ per mole of atoms
**Excess energy over the best structure of this formula in the dataset**: 29 meV per atom

# 13
Density functional theory data (GGA-PBE) for a relaxed structure of CrTcIr2.

a b c (Å): 5.400 7.625 2.708
angles (deg): 90.00 90.00 90.00
Space group Cmmm (No. 65)
Asymmetric unit:
Cr: 0.000 0.000 0.000 [2 per cell]
Tc: 0.000 0.500 0.000 [2 per cell]
Ir: 0.250 0.250 0.500 [4 per cell]

Summary:
**Calculated formation energy**: -175 meV per atom
**Size of the total moment**: 0.9 μB per formula unit
**Excess energy over the best structure of this formula in the dataset**: 83 meV per atom

# 14
Density functional theory data (GGA-PBE) for a relaxed structure of MnCr2Re.

a b c (Å): 3.624 3.624 7.679
angles (deg): 90.00 90.00 90.00
Space group I-4m2 (No. 119)
Asymmetric unit:
Mn: 0.000 0.000 0.000 [2 per cell]
Cr: 0.000 0.000 0.500 [2 per cell]
Cr: 0.000 0.500 0.250 [2 per cell]
Re: 0.000 0.500 0.750 [2 per cell]

Summary:
**Calculated formation energy**: 203 meV per atom
**Size of the total moment**: 0.7 μB per formula unit

# 15
Density functional theory data (GGA-PBE) for a relaxed structure of NaVCd.

a b c (Å): 2.935 5.283 8.599
angles (deg): 98.92 93.38 90.12
Space group P1 (No. 1)
Asymmetric unit:
Na: 0.000 0.000 0.000 [1 per cell]
Na: 0.009 0.437 0.769 [1 per cell]
V: 0.612 0.552 0.191 [1 per cell]
V: 0.935 0.601 0.391 [1 per cell]
Cd: 0.408 0.096 0.341 [1 per cell]
Cd: 0.470 0.906 0.652 [1 per cell]

Summary:
**Calculated formation energy**: 335 meV per atom
**Size of the total moment**: 0.0 μB per formula unit
**Excess energy over the best structure of this formula in the dataset**: 181 meV per atom

# 16
Density functional theory data (GGA-PBE) for a relaxed structure of SmNiGe2Rh.

a b c (Å): 4.123 4.123 10.324
angles (deg): 90.00 90.00 90.00
Space group I-4m2 (No. 119)
Asymmetric unit:
Sm: 0.000 0.000 0.000 [2 per cell]
Ni: 0.000 0.500 0.750 [2 per cell]
Ge: 0.000 0.000 0.376 [4 per cell]
Rh: 0.000 0.500 0.250 [2 per cell]

Summary:
**Calculated formation energy**: -753 meV per atom
**Size of the total moment**: 0.3 μB per formula unit

# 17
Density functional theory data (GGA-PBE) for a relaxed structure of Tm5ZnS4.

a b c (Å): 13.050 3.822 9.669
angles (deg): 90.00 120.03 90.00
Space group C2/m (No. 12)
Asymmetric unit:
Tm: 0.000 0.000 0.000 [2 per cell]
Tm: 0.105 0.500 0.398 [4 per cell]
Tm: 0.198 0.000 0.800 [4 per cell]
Zn: 0.000 0.000 0.500 [2 per cell]
S: 0.102 0.500 0.907 [4 per cell]
S: 0.198 0.000 0.293 [4 per cell]

Summary:
**Size of the total moment**: 0.0 μB per formula unit
**Formation energy (no corrections)**: -154.25 kJ per mole of atoms

# 18
Density functional theory data (GGA-PBE) for a relaxed structure of Mg3SnAu4.

a b c (Å): 6.720 6.720 6.720
angles (deg): 90.00 90.00 90.00
Space group Im-3m (No. 229)
Asymmetric unit:
Mg: 0.000 0.000 0.500 [6 per cell]
Sn: 0.000 0.000 0.000 [2 per cell]
Au: 0.250 0.250 0.250 [8 per cell]

Summary:
**Calculated formation energy**: -433 meV per atom
**Size of the total moment**: 0.0 μB per formula unit

# 19
Density functional theory data (GGA-PBE) for a relaxed structure of YMoPt.

a b c (Å): 3.023 3.023 12.638
angles (deg): 90.00 90.00 90.00
Space group I4mm (No. 107)
Asymmetric unit:
Y: 0.000 0.000 0.000 [2 per cell]
Mo: 0.000 0.000 0.685 [2 per cell]
Pt: 0.000 0.000 0.319 [2 per cell]

Summary:
**Calculated formation energy**: -172 meV per atom
**Size of the total moment**: 0.0 μB per formula unit
**Excess energy over the best structure of this formula in the dataset**: 0 meV per atom

# 20
Density functional theory data (GGA-PBE) for a relaxed structure of GaCoB2Pb.

a b c (Å): 3.915 3.915 5.368
angles (deg): 90.00 90.00 90.00
Space group P4/mmm (No. 123)
Asymmetric unit:
Ga: 0.000 0.000 0.000 [1 per cell]
Co: 0.500 0.500 0.500 [1 per cell]
B: 0.000 0.500 0.500 [2 per cell]
Pb: 0.500 0.500 0.000 [1 per cell]

Summary:
**Calculated formation energy**: 795 meV per atom
**Size of the total moment**: 0.0 μB per formula unit

# 21
Density functional theory data (GGA-PBE) for a relaxed structure of AsP2Au.

a b c (Å): 4.887 4.887 2.840
angles (deg): 90.00 90.00 90.00
Space group P4/mmm (No. 123)
Asymmetric unit:
As: 0.000 0.000 0.000 [1 per cell]
P: 0.000 0.500 0.500 [2 per cell]
Au: 0.500 0.500 0.000 [1 per cell]

Summary:
**Calculated formation energy**: 550 meV per atom
**Size of the total moment**: 0.0 μB per formula unit

# 22
Density functional theory data (GGA-PBE) for a relaxed structure of NaTiSe2N.

a b c (Å): 5.120 5.120 3.900
angles (deg): 90.00 90.00 90.00
Space group P4/mmm (No. 123)
Asymmetric unit:
Na: 0.000 0.000 0.000 [1 per cell]
Ti: 0.500 0.500 0.500 [1 per cell]
Se: 0.000 0.500 0.500 [2 per cell]
N: 0.500 0.500 0.000 [1 per cell]

Summary:
**Size of the total moment**: 1.5 μB per formula unit
**Formation energy (no corrections)**: -43.08 kJ per mole of atoms
**Excess energy over the best structure of this formula in the dataset**: 0 meV per atom

# 23
Density functional theory data (GGA-PBE) for a relaxed structure of Be8NbV3.

a b c (Å): 4.4388 4.4388 7.1552
angles (deg): 90.00 90.00 120.00
Space group P3m1 (No. 156)
Asymmetric unit:
Be: 0.0000 0.0000 0.0000 [1 per cell]
Be: 0.0000 0.0000 0.4966 [1 per cell]
Be: 0.1717 0.3433 0.7554 [3 per cell]
Be: 0.3416 0.1708 0.2440 [3 per cell]
Nb: 0.6667 0.3333 0.5657 [1 per cell]
V: 0.3333 0.6667 0.0670 [1 per cell]
V: 0.3333 0.6667 0.4247 [1 per cell]
V: 0.6667 0.3333 0.9357 [1 per cell]

Summary:
**Calculated formation energy**: -210 meV per atom
**Size of the total moment**: 0.0 μB per formula unit

# 24
Density functional theory data (GGA-PBE) for a relaxed structure of KBa4Si.

a b c (Å): 10.637 10.637 10.637
angles (deg): 90.00 90.00 90.00
Space group F-43m (No. 216)
Asymmetric unit:
K: 0.000 0.000 0.000 [4 per cell]
Ba: 0.123 0.123 0.377 [16 per cell]
Si: 0.250 0.250 0.750 [4 per cell]

Summary:
**Size of the total moment**: 0.0 μB per formula unit
**Formation energy (no corrections)**: 51.53 kJ per mole of atoms

# 25
Density functional theory data (GGA-PBE) for a relaxed structure of LiTa2Sb.

a b c (Å): 3.013 4.348 5.620
angles (deg): 90.00 101.45 90.00
Space group Pm (No. 6)
Asymmetric unit:
Li: 0.000 0.000 0.000 [1 per cell]
Ta: 0.380 0.500 0.787 [1 per cell]
Ta: 0.625 0.000 0.513 [1 per cell]
Sb: 0.044 0.500 0.264 [1 per cell]

Summary:
**Size of the total moment**: 0.0 μB per formula unit
**Formation energy (no corrections)**: 14.02 kJ per mole of atoms